Density functional theory data (PBE with a Hubbard U) for a relaxed structure of CuMoOF2.

For the energy above the most stable polymorph in this dataset, the calculation gives 1.55 eV per formula unit. The calculation puts the total magnetization at 3.99 Bohr magnetons per cell. The total energy is -4.886 eV/atom.

The structure belongs to space group P4/mmm (No. 123); the cell edges are 3.8759, 3.8759 and 4.1364 Å and the angles 90.00°, 90.00° and 90.00°. Symmetry generates all atoms from Cu at (0.0000, 0.0000, 0.0000), Mo at (0.5000, 0.5000, 0.5000), O at (0.0000, 0.0000, 0.5000) and F at (0.0000, 0.5000, 0.0000).